No. 1
Density functional theory data (PBE-GGA) for a geometry-optimized YAs2SeF structure.

Magnetic moment   0.000 μB/f.u.
Formation energy (no corrections)   -0.623 eV per atom

abc: 4.294 4.294 5.574
angles: 90.00 90.00 90.00
Atoms (fractional coordinates):
Y 0.500 0.500 0.500
As 0.000 0.500 0.000
As 0.500 0.000 0.000
Se 0.000 0.000 0.500
F 0.000 0.000 0.000

***

No. 2
Density functional theory data (PBE-GGA) for a geometry-optimized Pt3Rh3W2 structure.

Magnetic moment   0.000 μB/f.u.
E_form   -0.127 eV per atom

abc: 4.994 4.994 4.994
angles: 85.80 85.80 94.20
Atoms (fractional coordinates):
Pt 0.270 0.730 0.000
Pt 0.000 0.270 0.270
Pt 0.730 0.000 0.730
Rh 0.211 0.789 0.500
Rh 0.500 0.211 0.211
Rh 0.789 0.500 0.789
W 0.260 0.260 0.740
W 0.740 0.740 0.260

***

No. 3
Density functional theory data (PBE-GGA) for a geometry-optimized ZnSiTe2 structure.

Magnetic moment   0.000 μB/f.u.
Formation energy (no corrections)   0.097 eV per atom

abc: 6.421 6.421 7.865
angles: 65.91 65.91 90.00
Atoms (fractional coordinates):
Zn 0.000 0.000 0.000
Zn 0.750 0.250 0.500
Te 0.648 0.125 0.250
Te 0.102 0.625 0.250
Te 0.375 0.352 0.750
Te 0.875 0.898 0.750
Si 0.500 0.500 0.000
Si 0.250 0.750 0.500

***

No. 4
Density functional theory data (PBE-GGA) for a geometry-optimized Pm6ErTl structure.

Magnetic moment   0.000 μB/f.u.
E_form   -0.085 eV per atom

abc: 4.995 4.995 10.278
angles: 90.00 90.00 90.00
Atoms (fractional coordinates):
Pm 0.500 0.500 0.000
Pm 0.500 0.500 0.500
Pm 0.500 0.000 0.255
Pm 0.500 0.000 0.745
Pm 0.000 0.500 0.255
Pm 0.000 0.500 0.745
Er 0.000 0.000 0.000
Tl 0.000 0.000 0.500

***

No. 5
Density functional theory data (PBE-GGA) for a geometry-optimized PmCdOsO6 structure.

Magnetic moment   0.970 μB/f.u.
Formation energy (no corrections)   -1.591 eV per atom

abc: 5.671 5.671 9.039
angles: 90.00 90.00 120.00
Atoms (fractional coordinates):
Pm 0.333 0.667 0.250
Pm 0.667 0.333 0.750
Cd 0.000 0.000 0.000
Cd 0.000 0.000 0.500
Os 0.667 0.333 0.250
Os 0.333 0.667 0.750
O 0.668 0.613 0.131
O 0.945 0.332 0.131
O 0.332 0.945 0.631
O 0.055 0.668 0.869
O 0.387 0.332 0.369
O 0.945 0.613 0.369
O 0.613 0.945 0.869
O 0.668 0.055 0.369
O 0.055 0.387 0.631
O 0.387 0.055 0.131
O 0.613 0.668 0.631
O 0.332 0.387 0.869

***

No. 6
Density functional theory data (PBE-GGA) for a geometry-optimized MgRhIN2 structure.

Magnetic moment   4.220 μB/f.u.
Formation energy (no corrections)   1.507 eV per atom

abc: 4.001 4.001 6.152
angles: 90.00 90.00 90.00
Atoms (fractional coordinates):
I 0.000 0.000 0.500
Mg 0.000 0.000 0.000
Rh 0.500 0.500 0.500
N 0.000 0.500 0.000
N 0.500 0.000 0.000

***

| no. | calculated total energy (eV per formula unit) | mass density (g/cm³) |
| --- | --- | --- |
| 1 | -24.2 | 5.4 |
| 2 | -67.1 | 17.0 |
| 3 | -12.6 | 4.4 |
| 4 | -36.1 | 8.0 |
| 5 | -61.0 | 7.2 |
| 6 | -19.6 | 4.8 |